The following is a PBE calculation of YRePbO6 after structural relaxation, from the Alexandria database.

- uncorrected formation energy (eV/atom) = -2.01
- SG = P312 (149)
- mass density (g/cm3) = 6.8
- energy (eV/atom) = -7.83
- M_tot (μB per cell) = 0.0

a = 5.6069 Å, b = 5.6069 Å, c = 5.1766 Å
α = 90.00°, β = 90.00°, γ = 59.99°
With the nearest neighbours (Å) after each atom.
Element x y z (fractional)
Y (0.6666, 0.6667, 0.5000)  6 O 2.25
Re (0.3333, 0.3333, 0.5000)  6 O 1.91
Pb (0.9999, 0.0000, 0.0000)  6 O 2.58
O (0.0456, 0.3494, 0.2903)  1 Re 1.91
O (0.3493, 0.0456, 0.7097)  1 Re 1.91
O (0.6050, 0.3494, 0.7097)  1 Re 1.91
O (0.0455, 0.6051, 0.7097)  1 Re 1.91
O (0.3494, 0.6051, 0.2903)  1 Re 1.91
O (0.6051, 0.0455, 0.2903)  1 Re 1.91